(1)
{
  "formula": "LuZrRe4",
  "functional": "PBE-GGA",
  "state": "relaxed",
  "crystal_system": "cubic",
  "dft_energy_ev_per_cell": -64.62,
  "total_magnetization_mub_per_cell": 0.00,
  "lattice": [[-3.787, -2.455, -2.847], [-0.177, -5.330, -0.168], [-3.929, -2.619, 2.485]],
  "species": ["Zr", "Re", "Re", "Re", "Lu", "Re"],
  "frac_coords": [[0.250, 0.250, 0.250], [0.625, 0.625, 0.625], [0.625, 0.625, 0.125], [0.625, 0.125, 0.625], [0.000, 0.000, 0.000], [0.125, 0.625, 0.625]]
}

***

(2)
{
  "formula": "LuRh",
  "functional": "PBE-GGA",
  "state": "relaxed",
  "crystal_system": "cubic",
  "dft_energy_ev_per_cell": -13.89,
  "total_magnetization_mub_per_cell": 0.00,
  "lattice": [[3.351, 0.000, 0.000], [0.000, 3.351, 0.000], [0.000, 0.000, 3.351]],
  "species": ["Rh", "Lu"],
  "frac_coords": [[0.000, 0.000, 0.000], [0.500, 0.500, 0.500]]
}

***

(3)
{
  "formula": "LuRh2",
  "functional": "PBE-GGA",
  "state": "relaxed",
  "crystal_system": "tetragonal",
  "relative_energy_ev_per_atom": 0.313,
  "dft_energy_ev_per_cell": -20.62,
  "total_magnetization_mub_per_cell": 0.00,
  "lattice": [[3.345, 0.000, 0.000], [0.000, 3.345, 0.000], [-1.672, -1.672, 4.636]],
  "species": ["Rh", "Rh", "Lu"],
  "frac_coords": [[0.665, 0.665, 0.329], [0.335, 0.335, 0.671], [0.000, 0.000, 0.000]]
}

***

(4)
{
  "formula": "LuRh6",
  "functional": "PBE-GGA",
  "state": "relaxed",
  "crystal_system": "cubic",
  "dft_energy_ev_per_cell": -44.78,
  "total_magnetization_mub_per_cell": 0.00,
  "lattice": [[-4.846, 2.923, 1.352], [-1.313, -5.583, -0.981], [3.776, 0.358, 4.413]],
  "species": ["Rh", "Rh", "Rh", "Lu", "Rh", "Rh", "Rh"],
  "frac_coords": [[0.500, 0.250, 0.750], [0.250, 0.500, 0.750], [0.250, 0.750, 0.500], [0.000, 0.000, 0.000], [0.750, 0.500, 0.250], [0.750, 0.250, 0.500], [0.500, 0.750, 0.250]]
}

***

(5)
{
  "formula": "LuRh2",
  "functional": "PBE-GGA",
  "state": "relaxed",
  "crystal_system": "cubic",
  "relative_energy_ev_per_atom": 0.000,
  "dft_energy_ev_per_cell": -43.11,
  "total_magnetization_mub_per_cell": 0.00,
  "lattice": [[-5.051, -0.878, -1.290], [-3.215, -2.435, 3.417], [-3.851, 2.713, 2.399]],
  "species": ["Lu", "Lu", "Rh", "Rh", "Rh", "Rh"],
  "frac_coords": [[0.500, 0.500, 0.500], [0.750, 0.750, 0.750], [0.125, 0.125, 0.625], [0.125, 0.125, 0.125], [0.625, 0.125, 0.125], [0.125, 0.625, 0.125]]
}

***

(6)
{
  "formula": "Lu2RuRh",
  "functional": "PBE-GGA",
  "state": "relaxed",
  "crystal_system": "cubic",
  "relative_energy_ev_per_atom": 0.000,
  "dft_energy_ev_per_cell": -28.79,
  "total_magnetization_mub_per_cell": 0.00,
  "lattice": [[4.720, 0.000, 0.000], [2.360, 4.088, 0.000], [2.360, 1.363, 3.854]],
  "species": ["Rh", "Ru", "Lu", "Lu"],
  "frac_coords": [[0.500, 0.500, 0.500], [0.000, 0.000, 0.000], [0.750, 0.750, 0.750], [0.250, 0.250, 0.250]]
}

***

(7)
{
  "formula": "Lu2RuRh",
  "functional": "PBE-GGA",
  "state": "relaxed",
  "crystal_system": "tetragonal",
  "relative_energy_ev_per_atom": 0.007,
  "dft_energy_ev_per_cell": -28.77,
  "total_magnetization_mub_per_cell": 0.00,
  "lattice": [[-3.045, -1.325, 0.404], [0.764, -0.793, 3.159], [-2.302, 5.911, 2.041]],
  "species": ["Lu", "Rh", "Ru", "Lu"],
  "frac_coords": [[0.000, 0.000, 0.245], [0.500, 0.500, 0.500], [0.500, 0.500, 0.000], [0.000, 0.000, 0.755]]
}

***

(8)
{
  "formula": "LuScRuRh",
  "functional": "PBE-GGA",
  "state": "relaxed",
  "crystal_system": "cubic",
  "dft_energy_ev_per_cell": -30.65,
  "total_magnetization_mub_per_cell": 0.00,
  "lattice": [[-0.426, 4.277, 1.734], [1.214, 0.852, 4.392], [3.783, 2.519, 0.912]],
  "species": ["Rh", "Lu", "Ru", "Sc"],
  "frac_coords": [[0.250, 0.250, 0.250], [0.500, 0.500, 0.500], [0.750, 0.750, 0.750], [0.000, 0.000, 0.000]]
}